Record 1
A plane-wave DFT calculation with PBE was carried out for LiCu6Pd after structural relaxation.

Results
- calculated volume (Å³/cell) = 101
- energy relative to the elements (meV/atom) = -75
- total moment (μB per cell) = 0.00

POSCAR file:
```
LiCu6Pd
1.0
5.2249 0.0000 0.0000
-2.6124 4.5249 0.0000
0.0000 0.0000 4.2644
Li Cu Pd
1 6 1
direct
0.0000 0.0000 0.0000 Li
0.3378 0.1689 0.5000 Cu
0.5030 0.0060 0.0000 Cu
0.5030 0.4970 0.0000 Cu
0.8311 0.1689 0.5000 Cu
0.8311 0.6622 0.5000 Cu
0.9940 0.4970 0.0000 Cu
0.3333 0.6667 0.5000 Pd
```


Record 2
A plane-wave DFT calculation with PBE was carried out for LiCu8Pd2 after structural relaxation.

Results
- calculated volume (Å³/cell) = 150
- energy relative to the elements (meV/atom) = 0
- energy above the most stable polymorph in this dataset (meV per atom) = 0.0
- total moment (μB per cell) = 0.00

POSCAR file:
```
LiCu8Pd2
1.0
3.4081 -6.4983 0.0000
3.4081 6.4983 0.0000
-2.9681 0.0000 3.3978
Li Cu Pd
1 8 2
direct
0.0000 0.0000 0.0000 Li
0.1010 0.3775 0.7412 Cu
0.1952 0.8048 0.0000 Cu
0.3775 0.1010 0.7412 Cu
0.4953 0.4953 0.7447 Cu
0.5047 0.5047 0.2553 Cu
0.6225 0.8990 0.2588 Cu
0.8048 0.1952 0.0000 Cu
0.8990 0.6225 0.2588 Cu
0.3191 0.6809 0.5000 Pd
0.6809 0.3191 0.5000 Pd
```